1.
Compound: ScCr2NiRu
Source: Alexandria
Functional: PBE
Structure: relaxed

Cell: 4.249 4.516 4.249 Å, 90.00 90.00 90.00°
Atoms (fractional coordinates):
Sc (0.000, 0.000, 0.000)
Cr (0.500, 0.000, 0.000)
Ru (0.000, 0.500, 0.000)
Cr (0.000, 0.000, 0.500)
Ni (0.500, 0.500, 0.500)

Results
**D(E_F)**: 7.34 states/eV per cell
**Raw total energy**: -6.161 eV/atom
**Energy of formation from the pure elements**: 1.966 eV/atom



2.
Compound: CoHgIr
Source: Alexandria
Functional: PBE
Structure: relaxed

Cell: 2.828 2.828 6.764 Å, 90.00 90.00 120.00°
Atoms (fractional coordinates):
Co (0.000, 0.000, 0.983)
Hg (0.667, 0.333, 0.323)
Ir (0.333, 0.667, 0.694)

Results
**Offset from the most stable computed form**: 63 meV/atom
**D(E_F)**: 3.34 states/eV per cell
**Raw total energy**: -5.025 eV/atom
**Energy of formation from the pure elements**: 0.398 eV/atom



3.
Compound: CsCuSb2
Source: Alexandria
Functional: PBE
Structure: relaxed

Cell: 4.385 4.385 8.235 Å, 74.56 74.56 60.00°
Atoms (fractional coordinates):
Cu (0.000, 0.000, 0.000)
Sb (0.710, 0.710, 0.871)
Cs (0.500, 0.500, 0.500)
Sb (0.290, 0.290, 0.129)

Results
**Offset from the most stable computed form**: 0 meV/atom
**D(E_F)**: 1.21 states/eV per cell
**Raw total energy**: -3.365 eV/atom



4.
Compound: HfMn2Co
Source: Alexandria
Functional: PBE
Structure: relaxed

Cell: 3.520 3.520 9.599 Å, 79.43 79.43 90.00°
Atoms (fractional coordinates):
Co (0.250, 0.750, 0.500)
Hf (0.000, 0.000, 0.000)
Hf (0.750, 0.250, 0.500)
Mn (0.375, 0.459, 0.750)
Co (0.500, 0.500, 0.000)
Mn (0.541, 0.125, 0.250)
Mn (0.875, 0.791, 0.750)
Mn (0.209, 0.625, 0.250)

Results
**Offset from the most stable computed form**: 351 meV/atom
**D(E_F)**: 11.81 states/eV per cell
**Raw total energy**: -8.442 eV/atom
**Energy of formation from the pure elements**: 0.407 eV/atom



5.
Compound: CeTlSnBi
Source: Alexandria
Functional: PBE
Structure: relaxed

Cell: 4.710 4.867 4.946 Å, 90.00 90.00 90.00°
Atoms (fractional coordinates):
Bi (0.000, 0.500, 0.500)
Ce (0.500, 0.000, 0.500)
Tl (0.500, 0.500, 0.000)
Sn (0.000, 0.000, 0.000)

Results
**D(E_F)**: 5.25 states/eV per cell
**Raw total energy**: -4.476 eV/atom
**Energy of formation from the pure elements**: -0.430 eV/atom



6.
Compound: BaTa
Source: Alexandria
Functional: PBE
Structure: relaxed

Cell: 12.624 12.624 3.190 Å, 90.00 90.00 120.00°
Atoms (fractional coordinates):
Ba (0.056, 0.705, 0.750)
Ta (0.349, 0.794, 0.750)
Ta (0.555, 0.349, 0.250)
Ta (0.794, 0.445, 0.250)
Ta (0.206, 0.555, 0.750)
Ba (0.649, 0.944, 0.750)
Ba (0.351, 0.056, 0.250)
Ta (0.445, 0.651, 0.750)
Ta (0.651, 0.206, 0.250)
Ba (0.295, 0.351, 0.750)
Ba (0.705, 0.649, 0.250)
Ba (0.944, 0.295, 0.250)

Results
**Offset from the most stable computed form**: 586 meV/atom
**D(E_F)**: 10.00 states/eV per cell
**Raw total energy**: -5.782 eV/atom
**Energy of formation from the pure elements**: 1.106 eV/atom



7.
Compound: CaFeNi2
Source: Alexandria
Functional: PBE
Structure: relaxed

Cell: 3.034 3.034 6.681 Å, 90.00 90.00 89.99°
Atoms (fractional coordinates):
Fe (0.500, 0.500, 0.750)
Ca (0.500, 0.500, 0.250)
Ni (0.000, 0.000, 0.564)
Ni (0.000, 0.000, 0.936)

Results
**D(E_F)**: 2.51 states/eV per cell
**Raw total energy**: -5.409 eV/atom
**Energy of formation from the pure elements**: 0.098 eV/atom



8.
Compound: ScAs2RhO8
Source: Alexandria
Functional: PBE
Structure: relaxed

Cell: 5.488 5.488 6.119 Å, 90.00 90.00 120.00°
Atoms (fractional coordinates):
O (0.844, 0.156, 0.232)
As (0.333, 0.667, 0.695)
O (0.311, 0.156, 0.232)
O (0.689, 0.844, 0.768)
O (0.156, 0.844, 0.768)
As (0.667, 0.333, 0.305)
Rh (0.000, 0.000, 0.000)
O (0.667, 0.333, 0.576)
Sc (0.000, 0.000, 0.500)
O (0.844, 0.689, 0.232)
O (0.156, 0.311, 0.768)
O (0.333, 0.667, 0.424)

Results
**Raw total energy**: -6.584 eV/atom



9.
Compound: GaNiSb2I
Source: Alexandria
Functional: PBE
Structure: relaxed

Cell: 5.295 5.295 5.512 Å, 90.00 90.00 90.00°
Atoms (fractional coordinates):
Ni (0.500, 0.500, 0.500)
Ga (0.000, 0.000, 0.000)
I (0.000, 0.000, 0.500)
Sb (0.500, 0.000, 0.000)
Sb (0.000, 0.500, 0.000)

Results
**Offset from the most stable computed form**: 732 meV/atom
**D(E_F)**: 8.20 states/eV per cell
**Raw total energy**: -2.705 eV/atom



10.
Compound: MgGa3O6
Source: Alexandria
Functional: PBE
Structure: relaxed

Cell: 2.946 8.702 8.428 Å, 111.06 90.00 90.00°
Atoms (fractional coordinates):
O (0.250, 0.265, 0.743)
Ga (0.750, 0.441, 0.832)
O (0.250, 0.597, 0.934)
O (0.750, 0.922, 0.083)
Ga (0.750, 0.175, 0.093)
O (0.750, 0.424, 0.593)
O (0.750, 0.735, 0.257)
Ga (0.750, 0.723, 0.509)
Mg (0.750, 0.069, 0.699)
O (0.250, 0.902, 0.555)
Mg (0.250, 0.931, 0.301)
Ga (0.250, 0.559, 0.168)
O (0.750, 0.403, 0.066)
O (0.250, 0.576, 0.407)
O (0.750, 0.098, 0.445)
Ga (0.250, 0.825, 0.907)
O (0.250, 0.078, 0.917)
O (0.250, 0.231, 0.251)
Ga (0.250, 0.277, 0.491)
O (0.750, 0.769, 0.749)

Results
**D(E_F)**: 6.47 states/eV per cell
**Raw total energy**: -5.789 eV/atom



11.
Compound: LaMg2Ir
Source: Alexandria
Functional: PBE
Structure: relaxed

Cell: 4.903 4.903 4.903 Å, 60.00 60.00 60.00°
Atoms (fractional coordinates):
Ir (0.500, 0.500, 0.500)
La (0.000, 0.000, 0.000)
Mg (0.250, 0.250, 0.250)
Mg (0.750, 0.750, 0.750)

Results
**D(E_F)**: 3.80 states/eV per cell
**Raw total energy**: -4.372 eV/atom
**Energy of formation from the pure elements**: -0.127 eV/atom



12.
Compound: Ca3Ce2YSe6
Source: Alexandria
Functional: PBE
Structure: relaxed

Cell: 7.213 7.213 7.346 Å, 99.42 99.42 119.97°
Atoms (fractional coordinates):
Se (0.242, 0.242, 0.747)
Y (0.000, 0.000, 0.000)
Se (0.916, 0.589, 0.747)
Ce (0.334, 0.666, 0.000)
Se (0.411, 0.084, 0.253)
Ca (0.500, 0.500, 0.500)
Se (0.758, 0.758, 0.253)
Se (0.084, 0.411, 0.253)
Ce (0.666, 0.334, 0.000)
Ca (0.832, 0.168, 0.500)
Ca (0.168, 0.832, 0.500)
Se (0.589, 0.916, 0.747)

Results
**D(E_F)**: 15.07 states/eV per cell
**Raw total energy**: -5.636 eV/atom